This record from the Alexandria database describes an optimized crystal structure of HoHfCo4. The functional is PBE.

Calculated values
Total DFT energy (no corrections) in eV/atom: -7.4158
Mass density in Mg/m³: 11.22

a b c (Å): 4.949 4.949 4.949
angles (deg): 60.00 60.00 60.00
Each line ends with the local moment (μB).
Sites, in units of the cell vectors:
Co 0.625 0.625 0.124  0.88
Co 0.625 0.124 0.625  0.88
Co 0.625 0.625 0.625  0.88
Co 0.124 0.625 0.625  0.88
Hf 0.000 0.000 0.000  -0.28
Ho 0.250 0.250 0.250  -0.26